Here is a crystal of ZrAlCu4 relaxed with PBEsol from Alexandria via LeMat-Bulk. Energies are from SCAN.

Geometry as POSCAR:
```
ZrAlCu4
1.0
4.117 0.000 0.000
-2.058 3.565 0.000
0.000 0.000 5.682
Zr Al Cu
1 1 4
direct
0.000 0.000 0.000 Zr
0.000 0.000 0.500 Al
0.333 0.667 0.273 Cu
0.333 0.667 0.727 Cu
0.667 0.333 0.273 Cu
0.667 0.333 0.727 Cu
```

Results
As for the calculated density: 7.4 g/cm3. Its calculated volume is 83 Å³ per cell. Its energy of formation is -0.22 eV per atom. The calculation puts the raw total energy at -1.2321 Ry per atom.


Here is a crystal of NiIr2Ru relaxed with PBEsol from Alexandria via LeMat-Bulk. Energies are from SCAN.

Geometry as POSCAR:
```
NiIr2Ru
1.0
3.707 0.000 0.000
0.000 3.707 0.000
0.000 0.000 7.599
Ni Ir Ru
2 4 2
direct
0.000 0.000 0.000 Ni
0.500 0.500 0.500 Ni
0.000 0.000 0.500 Ir
0.000 0.500 0.750 Ir
0.500 0.000 0.250 Ir
0.500 0.500 0.000 Ir
0.000 0.500 0.250 Ru
0.500 0.000 0.750 Ru
```

Results
As for the calculated density: 17.3 g/cm3. Its calculated volume is 104 Å³ per cell. Its energy of formation is 0.02 eV per atom. The calculation puts the raw total energy at -3.5482 Ry per atom.


Here is a crystal of CaY2Mo relaxed with PBEsol from Alexandria via LeMat-Bulk. Energies are from SCAN.

Geometry as POSCAR:
```
CaY2Mo
1.0
3.811 0.000 0.000
0.000 5.177 0.000
0.000 0.000 10.596
Ca Y Mo
2 4 2
direct
0.000 0.000 0.000 Ca
0.500 0.500 0.000 Ca
0.000 0.000 0.413 Y
0.000 0.500 0.702 Y
0.500 0.000 0.702 Y
0.500 0.500 0.413 Y
0.000 0.500 0.220 Mo
0.500 0.000 0.220 Mo
```

Results
As for the calculated density: 5.0 g/cm3. Its calculated volume is 209 Å³ per cell. Its energy of formation is 0.55 eV per atom. The calculation puts the raw total energy at -1.8013 Ry per atom.


Here is a crystal of Zr2ScPt relaxed with PBEsol from Alexandria via LeMat-Bulk. Energies are from SCAN.

Geometry as POSCAR:
```
Zr2ScPt
1.0
3.435 0.000 0.000
0.000 4.542 0.000
0.000 0.000 4.902
Zr Sc Pt
2 1 1
direct
0.000 0.000 0.000 Zr
0.500 0.500 0.000 Zr
0.000 0.500 0.500 Sc
0.500 0.000 0.500 Pt
```

Results
As for the calculated density: 9.2 g/cm3. Its calculated volume is 76 Å³ per cell. Its energy of formation is -0.58 eV per atom. The calculation puts the raw total energy at -2.7222 Ry per atom.


Here is a crystal of Li3Mn2NiO6 relaxed with PBEsol from Alexandria via LeMat-Bulk. Energies are from SCAN.

Geometry as POSCAR:
```
Li3Mn2NiO6
1.0
6.242 -1.414 0.000
6.242 1.414 0.000
-1.461 0.000 5.629
Li Mn Ni O
3 2 1 6
direct
0.000 0.000 0.000 Li
0.339 0.339 0.663 Li
0.661 0.661 0.337 Li
0.335 0.335 0.169 Mn
0.665 0.665 0.831 Mn
0.000 0.000 0.500 Ni
0.170 0.170 0.608 O
0.174 0.174 0.067 O
0.491 0.491 0.246 O
0.509 0.509 0.754 O
0.826 0.826 0.933 O
0.830 0.830 0.392 O
```

Results
As for the calculated density: 4.8 g/cm3. Its calculated volume is 99 Å³ per cell. The calculation puts the raw total energy at -0.7501 Ry per atom.


Here is a crystal of ZrCrGe2 relaxed with PBEsol from Alexandria via LeMat-Bulk. Energies are from SCAN.

Geometry as POSCAR:
```
ZrCrGe2
1.0
9.194 0.000 0.000
0.000 9.944 0.000
0.000 0.000 8.101
Zr Cr Ge
12 12 24
direct
0.167 0.180 0.000 Zr
0.171 0.452 0.245 Zr
0.171 0.452 0.755 Zr
0.329 0.952 0.245 Zr
0.329 0.952 0.755 Zr
0.333 0.680 0.000 Zr
0.667 0.320 0.000 Zr
0.671 0.048 0.245 Zr
0.671 0.048 0.755 Zr
0.829 0.548 0.245 Zr
0.829 0.548 0.755 Zr
0.833 0.820 0.000 Zr
0.000 0.000 0.245 Cr
0.000 0.000 0.755 Cr
0.080 0.757 0.250 Cr
0.080 0.757 0.750 Cr
0.420 0.257 0.250 Cr
0.420 0.257 0.750 Cr
0.500 0.500 0.245 Cr
0.500 0.500 0.755 Cr
0.580 0.743 0.250 Cr
0.580 0.743 0.750 Cr
0.920 0.243 0.250 Cr
0.920 0.243 0.750 Cr
0.039 0.626 0.500 Ge
0.042 0.622 0.000 Ge
0.124 0.907 0.500 Ge
0.130 0.900 0.000 Ge
0.172 0.181 0.343 Ge
0.172 0.181 0.657 Ge
0.328 0.681 0.343 Ge
0.328 0.681 0.657 Ge
0.370 0.400 0.000 Ge
0.376 0.407 0.500 Ge
0.458 0.122 0.000 Ge
0.461 0.126 0.500 Ge
0.539 0.874 0.500 Ge
0.542 0.878 0.000 Ge
0.624 0.593 0.500 Ge
0.630 0.600 0.000 Ge
0.672 0.319 0.343 Ge
0.672 0.319 0.657 Ge
0.828 0.819 0.343 Ge
0.828 0.819 0.657 Ge
0.870 0.100 0.000 Ge
0.876 0.093 0.500 Ge
0.958 0.378 0.000 Ge
0.961 0.374 0.500 Ge
```

Results
As for the calculated density: 7.8 g/cm3. Its calculated volume is 741 Å³ per cell. Its energy of formation is -0.53 eV per atom. The calculation puts the raw total energy at -1.6423 Ry per atom.


Here is a crystal of ScCo2B relaxed with PBEsol from Alexandria via LeMat-Bulk. Energies are from SCAN.

Geometry as POSCAR:
```
ScCo2B
1.0
3.977 0.000 0.000
0.000 3.977 0.000
0.000 0.000 13.485
Sc Co B
4 8 4
direct
0.000 0.000 0.000 Sc
0.000 0.500 0.250 Sc
0.500 0.000 0.750 Sc
0.500 0.500 0.500 Sc
0.090 0.250 0.625 Co
0.250 0.590 0.875 Co
0.250 0.910 0.375 Co
0.410 0.250 0.125 Co
0.590 0.750 0.125 Co
0.750 0.090 0.375 Co
0.750 0.410 0.875 Co
0.910 0.750 0.625 Co
0.000 0.000 0.500 B
0.000 0.500 0.750 B
0.500 0.000 0.250 B
0.500 0.500 0.000 B
```

Results
As for the calculated density: 5.4 g/cm3. Its calculated volume is 213 Å³ per cell. Its energy of formation is 0.20 eV per atom. The calculation puts the raw total energy at -1.0191 Ry per atom.


Here is a crystal of Ta2MnAgCl relaxed with PBEsol from Alexandria via LeMat-Bulk. Energies are from SCAN.

Geometry as POSCAR:
```
Ta2MnAgCl
1.0
4.448 0.000 0.000
0.000 4.448 0.000
0.000 0.000 4.693
Ta Mn Ag Cl
2 1 1 1
direct
0.000 0.500 0.000 Ta
0.500 0.000 0.000 Ta
0.000 0.000 0.500 Mn
0.500 0.500 0.500 Ag
0.500 0.500 0.000 Cl
```

Results
As for the calculated density: 10.0 g/cm3. Its calculated volume is 93 Å³ per cell. The calculation puts the raw total energy at -2.7244 Ry per atom.


- raw total energy of number 3 (CaY2Mo)?
  -1.8013 Ry per atom


- Look up the calculated volume of the seventh one.
  213 Å³ per cell


- Look up the raw total energy of the third one.
  -1.8013 Ry per atom


- Among the records above, which one has the lowest calculated density?
  Li3Mn2NiO6